VASP calculation (PBE) on a geometry-optimized NaIn4Au6 structure.

Geometry as extended XYZ:
```
11
Lattice="-3.5046 3.5046 5.4367 3.5046 -3.5046 5.4367 3.5046 3.5046 -5.4367" Properties=species:S:1:pos:R:3 pbc="T T T"
Na 0.0000 0.0000 0.0000
In 2.0971 2.0971 -1.6992
In 1.4075 -1.4075 7.1359
In 1.4075 1.4075 3.7374
In -1.4075 1.4075 7.1359
Au 3.5046 0.0000 0.0000
Au 1.4036 -1.4036 4.2156
Au 2.1010 2.1010 1.2211
Au 0.0000 3.5046 0.0000
Au -1.4036 1.4036 4.2156
Au 1.4036 1.4036 6.6577
```

Results
Space-group type ... I-42m, No. 121
Offset from the most stable computed form ... 55.2 meV per atom
Uncorrected energy ... -3.066 eV/atom
DFT formation energy ... -0.16 eV/atom